NaCaLa2Mn: relaxed, PBE.

CIF file:
```
data_NaCaLa2Mn
_chemical_formula_sum 'Na1 Ca1 La2 Mn1'
_symmetry_space_group_name_H-M 'P 4/m m m'
_symmetry_Int_Tables_number 123
_symmetry_space_group_name_Hall '-P 4 2'
_cell_length_a 5.2126
_cell_length_b 5.2126
_cell_length_c 6.1049
_cell_angle_alpha 90.00
_cell_angle_beta 90.00
_cell_angle_gamma 90.00
loop_
_atom_site_label
_atom_site_fract_x
_atom_site_fract_y
_atom_site_fract_z
Na1 0.0000 0.0000 0.0000
Ca1 0.5000 0.5000 0.0000
La1 0.0000 0.5000 0.5000
Mn1 0.5000 0.5000 0.5000
```

Output
**Spin magnetization**: 0.0 μB per cell
**D(E_F)**: 4.35 states/eV/cell
**Formation energy from the elements**: 0.225 eV/atom
**Calculated density**: 4.0 g/cm³